(1)
Material: Ba2PrPb2O6
Method: DFT, PBE-GGA
State: relaxed

Summary:
Fermi-level density of states, states/eV/cell: 4.37
Uncorrected energy, eV/cell: -67.695
Energy relative to the elements, uncorrected, eV per atom: -1.991

Unit cell a=6.5971 b=6.2619 c=7.3933 alpha=113.58 beta=90.00 gamma=121.79
Last column: nearest neighbours and their distance in Å.
Positions (direct):
Ba1 0.7081 0.4163 0.1316  5 O 2.57-2.84
Ba2 0.2918 0.5837 0.8684  5 O 2.57-2.84
Pr1 0.5000 0.0000 0.5000  6 O 2.42-2.45
Pb1 0.9278 0.8555 0.7574  3 O 2.15-2.23
Pb2 0.0722 0.1445 0.2426  3 O 2.15-2.23
O1 0.7235 0.4470 0.4890  1 Pb 2.15
O2 0.1772 0.8516 0.2223  1 Pb 2.23, 1 Pr 2.45
O3 0.3256 0.1484 0.7777  1 Pb 2.23, 1 Pr 2.45
O4 0.8228 0.1484 0.7777  1 Pb 2.23, 1 Pr 2.45
O5 0.6744 0.8516 0.2223  1 Pb 2.23, 1 Pr 2.45
O6 0.2765 0.5530 0.5110  1 Pb 2.15

(2)
Material: V3TcOs2
Method: DFT, PBE-GGA
State: relaxed

Summary:
Fermi-level density of states, states/eV/cell: 4.94
Uncorrected energy, eV/cell: -61.977
E_form, eV/atom: -0.2993

Unit cell a=3.0153 b=3.0153 c=9.1002 alpha=90.00 beta=90.00 gamma=90.00
Last column: nearest neighbours and their distance in Å.
Positions (direct):
V1 0.0000 0.0000 0.0000  8 Os 2.62
V2 0.0000 0.0000 0.6620  4 Tc 2.59, 4 Os 2.64
V3 0.0000 0.0000 0.3380  4 Tc 2.59, 4 Os 2.64
Tc1 0.5000 0.5000 0.5000  8 V 2.59
Os1 0.5000 0.5000 0.8323  8 V 2.62-2.64
Os2 0.5000 0.5000 0.1677  8 V 2.62-2.64

Repeat the first record exactly.
Material: Ba2PrPb2O6
Method: DFT, PBE-GGA
State: relaxed

Summary:
Fermi-level density of states, states/eV/cell: 4.37
Uncorrected energy, eV/cell: -67.695
Energy relative to the elements, uncorrected, eV per atom: -1.991

Unit cell a=6.5971 b=6.2619 c=7.3933 alpha=113.58 beta=90.00 gamma=121.79
Last column: nearest neighbours and their distance in Å.
Positions (direct):
Ba1 0.7081 0.4163 0.1316  5 O 2.57-2.84
Ba2 0.2918 0.5837 0.8684  5 O 2.57-2.84
Pr1 0.5000 0.0000 0.5000  6 O 2.42-2.45
Pb1 0.9278 0.8555 0.7574  3 O 2.15-2.23
Pb2 0.0722 0.1445 0.2426  3 O 2.15-2.23
O1 0.7235 0.4470 0.4890  1 Pb 2.15
O2 0.1772 0.8516 0.2223  1 Pb 2.23, 1 Pr 2.45
O3 0.3256 0.1484 0.7777  1 Pb 2.23, 1 Pr 2.45
O4 0.8228 0.1484 0.7777  1 Pb 2.23, 1 Pr 2.45
O5 0.6744 0.8516 0.2223  1 Pb 2.23, 1 Pr 2.45
O6 0.2765 0.5530 0.5110  1 Pb 2.15

What is the uncorrected energy in the first record?
-67.695 eV/cell

Which formula does entry 1 have?
Ba2PrPb2O6